Entry 1:
This record from the Alexandria database describes Nd5Tm12Th2 after structural relaxation. The functional is PBE-GGA.

## Properties
The value obtained for the formation energy is 2.8 kJ/mol of atoms. The polymorph energy (0 for the lowest one) comes out at 0 meV per atom.

Cell: 7.956 7.972 10.593 Å, 107.51 94.10 107.47°
Space group P-1 (No. 2)
Inequivalent atoms, fractional coordinates:
Nd1 0.000 0.000 0.000 (multiplicity 1)
Nd2 0.211 0.680 0.051 (multiplicity 2)
Nd3 0.309 0.524 0.579 (multiplicity 2)
Tm1 0.054 0.423 0.266 (multiplicity 2)
Tm2 0.160 0.259 0.785 (multiplicity 2)
Tm3 0.260 0.103 0.320 (multiplicity 2)
Tm4 0.371 0.948 0.841 (multiplicity 2)
Tm5 0.418 0.366 0.104 (multiplicity 2)
Tm6 0.475 0.794 0.370 (multiplicity 2)
Th1 0.106 0.846 0.527 (multiplicity 2)

Entry 2:
This record from the Alexandria database describes Na4Ce3AuS8 after structural relaxation. The functional is PBE-GGA.

## Properties
Its calculated total energy is -164.15 eV per cell.

Cell: 14.276 7.936 8.115 Å, 90.00 124.64 90.00°
Space group C2/m (No. 12)
Inequivalent atoms, fractional coordinates:
Na1 0.000 0.000 0.000 (multiplicity 2)
Na2 0.000 0.500 0.000 (multiplicity 2)
Na3 0.250 0.250 0.500 (multiplicity 4)
Ce1 0.000 0.000 0.500 (multiplicity 2)
Ce2 0.250 0.250 0.000 (multiplicity 4)
Au1 0.000 0.500 0.500 (multiplicity 2)
S1 0.012 0.255 0.745 (multiplicity 8)
S2 0.236 0.000 0.218 (multiplicity 4)
S3 0.241 0.000 0.748 (multiplicity 4)

Entry 3:
This record from the Alexandria database describes LiCo4Pt after structural relaxation. The functional is PBE-GGA.

## Properties
The value obtained for the formation energy is 2.1 kJ/mol of atoms.

Cell: 6.684 6.684 6.684 Å, 90.00 90.00 90.00°
Space group F-43m (No. 216)
Inequivalent atoms, fractional coordinates:
Li1 0.000 0.000 0.000 (multiplicity 4)
Co1 0.126 0.126 0.626 (multiplicity 16)
Pt1 0.250 0.250 0.250 (multiplicity 4)

Entry 4:
This record from the Alexandria database describes K2SnBr5Cl after structural relaxation. The functional is PBE-GGA.

## Properties
Its calculated total energy is -54.49 eV per cell.

Cell: 7.607 7.607 10.697 Å, 90.00 90.00 90.00°
Space group I4mm (No. 107)
Inequivalent atoms, fractional coordinates:
K1 0.000 0.500 0.000 (multiplicity 4)
Sn1 0.000 0.000 0.249 (multiplicity 2)
Br1 0.000 0.000 0.496 (multiplicity 2)
Br2 0.246 0.246 0.250 (multiplicity 8)
Cl1 0.000 0.000 0.017 (multiplicity 2)

Entry 5:
This record from the Alexandria database describes CrBi2S after structural relaxation. The functional is PBE-GGA.

## Properties
Its calculated total energy is -77.81 eV per cell.

Cell: 6.083 6.083 14.181 Å, 90.00 90.00 90.00°
Space group I-42d (No. 122)
Inequivalent atoms, fractional coordinates:
Cr1 0.000 0.000 0.000 (multiplicity 4)
Bi1 0.241 0.250 0.125 (multiplicity 8)
S1 0.000 0.000 0.500 (multiplicity 4)

Entry 6:
This record from the Alexandria database describes TePIrPt after structural relaxation. The functional is PBE-GGA.

## Properties
The polymorph energy (0 for the lowest one) comes out at 100 meV per atom.

Cell: 7.622 3.308 6.178 Å, 90.00 93.35 90.00°
Space group Cm (No. 8)
Inequivalent atoms, fractional coordinates:
Te1 0.000 0.000 0.000 (multiplicity 2)
P1 0.250 0.500 0.531 (multiplicity 2)
Ir1 0.463 0.000 0.655 (multiplicity 2)
Pt1 0.291 0.000 0.257 (multiplicity 2)

| no. | total magnetization (μB per atom) |
| --- | --- |
| 1 | 0.000 |
| 2 | 0.070 |
| 3 | 1.254 |
| 4 | 0.000 |
| 5 | 0.993 |
| 6 | 0.000 |